Computed, not measured: a relaxed structure of LiMn8O16 at the PBE+U level of DFT.

extended XYZ file:
```
25
Lattice="-1.270 -4.179 -3.949 5.610 -1.787 0.086 -1.767 -5.254 6.129" Properties=species:S:1:pos:R:3 pbc="T T T"
Li 1.286 -5.610 1.133
Mn -0.977 -3.006 1.318
Mn 0.304 -8.631 2.449
Mn -1.618 -5.112 -0.672
Mn 0.940 -6.540 4.426
Mn 0.547 -3.187 -1.193
Mn 3.114 -4.628 3.896
Mn 3.355 -4.082 -1.150
Mn 0.287 -3.728 3.853
O -1.159 -3.733 -1.973
O 1.391 -5.188 3.071
O -0.607 -1.919 -0.258
O 0.691 -7.491 0.896
O 3.077 -5.373 0.306
O 0.068 -5.023 5.294
O -0.014 -4.389 0.259
O 2.504 -5.799 5.332
O 2.252 -2.652 -0.394
O -2.066 -6.455 0.658
O 1.698 -4.474 -2.116
O -1.357 -4.125 2.860
O 1.821 -8.047 3.540
O 0.550 -2.449 2.415
O -0.625 -7.268 3.502
O 3.679 -3.445 2.463
```

Summary:
SG: P-4m2
Calculated total energy: -7.03 eV/atom